No. 1
{"formula": "CaTaC", "functional": "PBE", "state": "optimized geometry", "cell": [[-3.410, 2.550, -0.957], [-0.865, -2.804, -4.393], [-5.868, -5.980, 4.973]], "species": ["C", "C", "C", "C", "Ta", "Ta", "Ta", "Ta", "Ca", "Ca", "Ca", "Ca"], "fractional_positions": [[0.500, 0.750, 0.644], [0.000, 0.750, 0.856], [0.000, 0.250, 0.144], [0.500, 0.250, 0.356], [0.500, 0.250, 0.145], [0.000, 0.750, 0.645], [0.000, 0.250, 0.355], [0.500, 0.750, 0.855], [0.000, 0.750, 0.112], [0.500, 0.750, 0.388], [0.500, 0.250, 0.612], [0.000, 0.250, 0.888]]}

=====

No. 2
{"formula": "CaTaC", "functional": "PBE", "state": "optimized geometry", "cell": [[-0.152, 3.090, 1.268], [-1.325, -0.642, -3.002], [-4.906, -1.239, 2.429]], "species": ["Ca", "C", "Ta"], "fractional_positions": [[0.333, 0.667, 0.042], [0.667, 0.333, 0.363], [0.000, 0.000, 0.517]]}

=====

No. 3
{"formula": "CaTaC", "functional": "PBE", "state": "optimized geometry", "cell": [[6.072, 0.000, -0.006], [0.000, 3.418, 0.000], [-1.554, 0.000, 10.497]], "species": ["C", "C", "C", "C", "Ta", "Ta", "Ta", "Ta", "Ca", "Ca", "Ca", "Ca"], "fractional_positions": [[0.207, 0.500, 0.276], [0.207, 0.000, 0.776], [0.793, 0.500, 0.724], [0.793, 0.000, 0.224], [0.088, 0.000, 0.363], [0.912, 0.500, 0.137], [0.088, 0.500, 0.863], [0.912, 0.000, 0.637], [0.372, 0.000, 0.122], [0.372, 0.500, 0.622], [0.628, 0.000, 0.878], [0.628, 0.500, 0.378]]}

=====

Polymorph energy (0 for the lowest one), respectively: 99, 110, 96 meV/atom.
ΔE_f, respectively: 0.00, 0.01, -0.01 eV/atom.